# LaTaReP2, relaxed, DFT PBE
data_LaTaReP2
_chemical_formula_sum 'La1 Ta1 Re1 P2'
_space_group_name_H-M_alt 'P 4/m m m'
_space_group_IT_number 123
_space_group_name_Hall '-P 4 2'
_cell_length_a 4.6580
_cell_length_b 4.6580
_cell_length_c 5.0618
_cell_angle_alpha 90.00
_cell_angle_beta 90.00
_cell_angle_gamma 90.00
loop_
_atom_site_label
_atom_site_fract_x
_atom_site_fract_y
_atom_site_fract_z
La1 0.0000 0.0000 0.0000
Ta1 0.5000 0.5000 0.0000
Re1 0.5000 0.5000 0.5000
P1 0.0000 0.5000 0.5000
# - DOS(E_F) (states/eV/atom) = 0.891
# - ΔE_f (eV/atom) = 0.29